a) The following is a PBE calculation of a geometry-optimized LaAlGaPt2 structure, from Alexandria via LeMat-Bulk.

Unit cell a=5.3194 b=5.8428 c=5.3194 alpha=90.00 beta=90.00 gamma=90.00
Closest atoms and distances in Å follow each position.
Fractional positions:
Pt 0.0000 0.0000 0.5000  2 La 2.66
Pt 0.5000 0.0000 0.0000  2 La 2.66
La 0.0000 0.0000 0.0000  4 Pt 2.66, 2 Al 2.92
Al 0.0000 0.5000 0.0000  2 La 2.92
Ga 0.5000 0.5000 0.5000  4 Al 3.76, 8 Pt 3.95

Calculated values
Its space-group type is P4/mmm, No. 123. The mass density comes out at 6.29 g/cm3. As for the crystal system: tetragonal. The value obtained for the volume is 165.3 Å³/f.u.

b) The following is a PBE calculation of a geometry-optimized LaAlGaPt2 structure, from Alexandria via LeMat-Bulk.

Unit cell a=4.2289 b=4.2289 c=6.3625 alpha=109.41 beta=109.41 gamma=90.00
Closest atoms and distances in Å follow each position.
Fractional positions:
Al 0.7500 0.2500 0.5000  4 Pt 2.56
Pt 0.6222 0.6222 0.2444  2 Al 2.56, 2 Ga 2.56, 1 Pt 2.75
Pt 0.3778 0.3778 0.7556  2 Al 2.56, 2 Ga 2.56, 1 Pt 2.75
Ga 0.2500 0.7500 0.5000  4 Pt 2.56
La 0.0000 0.0000 0.0000  8 Pt 3.29, 4 Al 3.52, 4 Ga 3.52

Calculated values
Its space-group type is I-4m2, No. 119. The mass density comes out at 10.35 g/cm3. As for the crystal system: tetragonal. The value obtained for the volume is 100.4 Å³/f.u.

Most stable to least stable, the ends of the list are b) and a).

a) The following is a PBE calculation of a geometry-optimized LaSmAlGa structure, from Alexandria via LeMat-Bulk.

Unit cell a=4.5022 b=4.2392 c=6.1744 alpha=90.00 beta=111.38 gamma=90.00
Closest atoms and distances in Å follow each position.
Fractional positions:
Al 0.4363 0.0000 0.8726  2 Ga 2.63
Ga 0.5715 0.5000 0.1430  2 Al 2.63
Sm 0.1380 0.0000 0.2760  4 Ga 3.19, 3 Al 3.23-3.43
La 0.8542 0.5000 0.7083  4 Al 3.23, 3 Ga 3.25-3.36

Calculated values
Its space-group type is Amm2, No. 38. The mass density comes out at 5.84 g/cm3. As for the crystal system: orthorhombic. The value obtained for the volume is 109.7 Å³/f.u.

b) The following is a PBE calculation of a geometry-optimized LaSmAlGa structure, from Alexandria via LeMat-Bulk.

Unit cell a=5.2754 b=5.2754 c=5.2754 alpha=60.00 beta=60.00 gamma=60.00
Closest atoms and distances in Å follow each position.
Fractional positions:
La 0.5000 0.5000 0.5000  4 Al 3.23, 4 Ga 3.23
Sm 0.0000 0.0000 0.0000  4 Ga 3.23, 4 Al 3.23
Al 0.7500 0.7500 0.7500  4 La 3.23, 4 Sm 3.23
Ga 0.2500 0.2500 0.2500  4 La 3.23, 4 Sm 3.23

Calculated values
Its space-group type is F-43m, No. 216. The mass density comes out at 6.17 g/cm3. As for the crystal system: cubic. The value obtained for the volume is 103.8 Å³/f.u.

Most stable to least stable, the ends of the list are a) and b).

a) The following is a PBE calculation of a geometry-optimized LaTbAlGa structure, from Alexandria via LeMat-Bulk.

Unit cell a=5.2323 b=5.2323 c=5.2323 alpha=60.00 beta=60.00 gamma=60.00
Closest atoms and distances in Å follow each position.
Fractional positions:
Ga 0.2500 0.2500 0.2500  4 Tb 3.20, 4 La 3.20
La 0.5000 0.5000 0.5000  4 Ga 3.20, 4 Al 3.20
Tb 0.0000 0.0000 0.0000  4 Al 3.20, 4 Ga 3.20
Al 0.7500 0.7500 0.7500  4 Tb 3.20, 4 La 3.20

Calculated values
Its space-group type is F-43m, No. 216. The mass density comes out at 6.47 g/cm3. As for the crystal system: cubic. The value obtained for the volume is 101.3 Å³/f.u.

b) The following is a PBE calculation of a geometry-optimized LaTbAlGa structure, from Alexandria via LeMat-Bulk.

Unit cell a=5.5229 b=3.4185 c=6.3919 alpha=90.00 beta=115.60 gamma=90.00
Closest atoms and distances in Å follow each position.
Fractional positions:
La 0.6085 0.5000 0.2171  2 Ga 3.15, 4 Tb 3.25, 1 Al 3.27, 2 La 3.42
Al 0.8925 0.5000 0.7851  2 Tb 3.13, 4 Ga 3.25, 1 La 3.27, 2 Al 3.42
Tb 0.1200 0.0000 0.2399  1 Ga 2.99, 2 Al 3.13, 4 La 3.25
Ga 0.3789 0.0000 0.7579  1 Tb 2.99, 2 La 3.15, 4 Al 3.25

Calculated values
Its space-group type is Amm2, No. 38. The mass density comes out at 6.02 g/cm3. As for the crystal system: orthorhombic. The value obtained for the volume is 108.8 Å³/f.u.

Most stable to least stable, the ends of the list are a) and b).

a) The following is a PBE calculation of a geometry-optimized Li5AlGa4 structure, from Alexandria via LeMat-Bulk.

Unit cell a=3.2022 b=3.2022 c=15.1195 alpha=90.00 beta=90.00 gamma=90.00
Closest atoms and distances in Å follow each position.
Fractional positions:
Li 0.5000 0.5000 0.8975  4 Ga 2.69, 4 Al 2.74, 1 Li 2.95
Li 0.5000 0.5000 0.7021  8 Ga 2.72, 1 Li 2.95
Li 0.5000 0.5000 0.1025  4 Ga 2.69, 4 Al 2.74, 1 Li 2.95
Li 0.5000 0.5000 0.5000  8 Ga 2.74, 2 Li 3.06
Li 0.5000 0.5000 0.2979  8 Ga 2.72, 1 Li 2.95
Ga 0.0000 0.0000 0.1984  8 Li 2.69-2.72, 1 Al 3.00
Ga 0.0000 0.0000 0.6021  8 Li 2.72-2.74, 1 Ga 3.02
Ga 0.0000 0.0000 0.3979  8 Li 2.72-2.74, 1 Ga 3.02
Ga 0.0000 0.0000 0.8016  8 Li 2.69-2.72, 1 Al 3.00
Al 0.0000 0.0000 0.0000  8 Li 2.74, 2 Ga 3.00

Calculated values
Its space-group type is P4/mmm, No. 123. The mass density comes out at 3.65 g/cm3. As for the crystal system: tetragonal. The value obtained for the volume is 155.0 Å³/f.u.

b) The following is a PBE calculation of a geometry-optimized Li5AlGa4 structure, from Alexandria via LeMat-Bulk.

Unit cell a=4.9638 b=5.8355 c=6.8967 alpha=90.76 beta=121.72 gamma=106.75
Closest atoms and distances in Å follow each position.
Fractional positions:
Al 0.5000 0.0000 0.0000  6 Li 2.76-2.92, 6 Ga 2.77-2.88
Ga 0.6991 0.3029 0.3980  8 Li 2.74-2.92, 1 Al 2.77, 3 Ga 2.78-2.82
Ga 0.8964 0.1079 0.8016  7 Li 2.74-2.95, 3 Ga 2.80-2.83, 2 Al 2.84-2.88
Ga 0.3009 0.6971 0.6020  8 Li 2.74-2.92, 1 Al 2.77, 3 Ga 2.78-2.82
Ga 0.1036 0.8921 0.1984  7 Li 2.74-2.95, 3 Ga 2.80-2.83, 2 Al 2.84-2.88
Li 0.6989 0.8030 0.4024  4 Li 2.71-2.83, 7 Ga 2.74-2.95, 1 Al 2.80
Li 0.3011 0.1970 0.5976  4 Li 2.71-2.83, 7 Ga 2.74-2.95, 1 Al 2.80
Li 0.1001 0.3913 0.2095  5 Li 2.71-2.96, 6 Ga 2.74-2.92, 1 Al 2.76
Li 0.8999 0.6087 0.7905  5 Li 2.71-2.96, 6 Ga 2.74-2.92, 1 Al 2.76
Li 0.5000 0.5000 0.0000  4 Ga 2.78, 6 Li 2.79-2.96, 2 Al 2.92

Calculated values
Its space-group type is P-1, No. 2. The mass density comes out at 3.55 g/cm3. As for the crystal system: triclinic. The value obtained for the volume is 159.4 Å³/f.u.

Most stable to least stable, the ends of the list are b) and a).

a) The following is a PBE calculation of a geometry-optimized Li2AlGa6 structure, from Alexandria via LeMat-Bulk.

Unit cell a=2.9501 b=7.4081 c=8.4158 alpha=116.11 beta=104.84 gamma=90.00
Closest atoms and distances in Å follow each position.
Fractional positions:
Li 0.9099 0.6818 0.3637  10 Ga 2.79-3.03, 2 Li 2.95
Li 0.0901 0.3182 0.6363  10 Ga 2.79-3.03, 2 Li 2.95
Ga 0.3949 0.9855 0.3291  5 Ga 2.65-2.95, 1 Al 2.77, 3 Li 2.79-2.94
Ga 0.3949 0.3436 0.3291  5 Ga 2.65-2.95, 1 Al 2.77, 3 Li 2.79-2.94
Ga 0.6051 0.0145 0.6709  5 Ga 2.65-2.95, 1 Al 2.77, 3 Li 2.79-2.94
Ga 0.5000 0.3213 0.0000  5 Ga 2.65-2.95, 2 Al 2.80
Ga 0.6051 0.6564 0.6709  5 Ga 2.65-2.95, 1 Al 2.77, 3 Li 2.79-2.94
Ga 0.5000 0.6787 0.0000  5 Ga 2.65-2.95, 2 Al 2.80
Al 0.0000 0.0000 0.0000  8 Ga 2.77-2.80, 2 Al 2.95

Calculated values
Its space-group type is C2/m, No. 12. The mass density comes out at 4.82 g/cm3. As for the crystal system: monoclinic. The value obtained for the volume is 158.3 Å³/f.u.

b) The following is a PBE calculation of a geometry-optimized Li2AlGa6 structure, from Alexandria via LeMat-Bulk.

Unit cell a=2.9991 b=7.8366 c=7.8366 alpha=120.00 beta=90.00 gamma=90.00
Closest atoms and distances in Å follow each position.
Fractional positions:
Ga 0.5000 0.3321 0.0000  3 Ga 2.60-2.63
Ga 0.5000 0.0000 0.6679  3 Ga 2.60-2.63
Ga 0.5000 0.0000 0.3321  3 Ga 2.60-2.63
Ga 0.5000 0.3321 0.3321  3 Ga 2.60-2.63
Ga 0.5000 0.6679 0.6679  3 Ga 2.60-2.63
Ga 0.5000 0.6679 0.0000  3 Ga 2.60-2.63
Al 0.0000 0.0000 0.0000  2 Al 3.00, 12 Ga 3.00
Li 0.0000 0.6667 0.3333  2 Li 3.00, 12 Ga 3.02
Li 0.0000 0.3333 0.6667  2 Li 3.00, 12 Ga 3.02

Calculated values
Its space-group type is P6/mmm, No. 191. The mass density comes out at 4.78 g/cm3. As for the crystal system: hexagonal. The value obtained for the volume is 159.5 Å³/f.u.

Most stable to least stable, the ends of the list are a) and b).

a) The following is a PBE calculation of a geometry-optimized LiAl5Ga4 structure, from Alexandria via LeMat-Bulk.

Unit cell a=4.9184 b=9.6108 c=6.2978 alpha=129.01 beta=98.73 gamma=110.26
Closest atoms and distances in Å follow each position.
Fractional positions:
Li 0.5000 0.0000 0.0000  4 Ga 2.70-2.76, 6 Al 2.78-2.88
Ga 0.3474 0.0925 0.6927  1 Li 2.70, 5 Ga 2.74-2.97, 5 Al 2.76-2.95
Ga 0.0032 0.2498 0.0077  5 Al 2.69-2.96, 3 Ga 2.74-2.96, 1 Li 2.76
Ga 0.9968 0.7502 0.9922  5 Al 2.69-2.96, 3 Ga 2.74-2.96, 1 Li 2.76
Ga 0.6526 0.9075 0.3073  1 Li 2.70, 5 Ga 2.74-2.97, 5 Al 2.76-2.95
Al 0.1887 0.1855 0.3476  4 Ga 2.69-2.92, 4 Al 2.75-2.94, 2 Li 2.85-2.88
Al 0.8492 0.3455 0.6583  4 Ga 2.71-2.96, 5 Al 2.75-2.94, 1 Li 2.78
Al 0.1508 0.6545 0.3416  4 Ga 2.71-2.96, 5 Al 2.75-2.94, 1 Li 2.78
Al 0.8113 0.8145 0.6524  4 Ga 2.69-2.92, 4 Al 2.75-2.94, 2 Li 2.85-2.88
Al 0.5000 0.5000 0.0000  6 Al 2.76-2.94, 4 Ga 2.76-2.81

Calculated values
Its space-group type is P-1, No. 2. The mass density comes out at 3.74 g/cm3. As for the crystal system: triclinic. The value obtained for the volume is 187.0 Å³/f.u.

b) The following is a PBE calculation of a geometry-optimized LiAl5Ga4 structure, from Alexandria via LeMat-Bulk.

Unit cell a=2.8388 b=9.6984 c=8.8569 alpha=130.15 beta=99.22 gamma=90.00
Closest atoms and distances in Å follow each position.
Fractional positions:
Al 0.8316 0.3836 0.6633  2 Ga 2.64-2.88, 7 Al 2.76-2.86
Al 0.5000 0.5000 0.0000  6 Al 2.76-2.84, 4 Ga 2.81
Al 0.1756 0.3299 0.3512  1 Ga 2.77, 7 Al 2.81-2.91, 2 Li 2.97
Al 0.8244 0.6701 0.6488  1 Ga 2.77, 7 Al 2.81-2.91, 2 Li 2.97
Al 0.1684 0.6164 0.3367  2 Ga 2.64-2.88, 7 Al 2.76-2.86
Ga 0.9888 0.2377 0.9777  4 Ga 2.76-2.84, 4 Al 2.77-2.88, 2 Li 2.82
Ga 0.3150 0.9734 0.6300  1 Al 2.64, 4 Ga 2.76-2.84
Ga 0.0112 0.7623 0.0223  4 Ga 2.76-2.84, 4 Al 2.77-2.88, 2 Li 2.82
Ga 0.6850 0.0266 0.3700  1 Al 2.64, 4 Ga 2.76-2.84
Li 0.5000 0.0000 0.0000  6 Ga 2.82-3.07, 2 Li 2.84, 4 Al 2.97

Calculated values
Its space-group type is C2/m, No. 12. The mass density comes out at 3.83 g/cm3. As for the crystal system: monoclinic. The value obtained for the volume is 182.2 Å³/f.u.

Most stable to least stable, the ends of the list are b) and a).